1.
Ba2PrAl2O7: relaxed, PBE-GGA.

Output
M_tot, μB per formula unit: 0.86
Calculated total energy, eV per atom: -7.054
ΔE_f (raw), kJ/mol of formula units: -3263.7

a b c (Å): 10.8464 10.8464 10.8464
angles (deg): 159.25 159.25 29.51
Fractional positions:
Ba  0.1809  0.1809  0.0000
Ba  0.8191  0.8191  0.0000
Pr  0.0000  0.0000  0.0000
Al  0.4097  0.4097  0.0000
Al  0.5903  0.5903  0.0000
O  0.0844  0.5844  0.5000
O  0.3181  0.3181  0.0000
O  0.4156  0.9156  0.5000
O  0.5000  0.5000  0.0000
O  0.5844  0.0844  0.5000
O  0.6819  0.6819  0.0000
O  0.9156  0.4156  0.5000



2.
Ba2AlPtO: relaxed, PBE-GGA.

Output
M_tot, μB per formula unit: 0.00
Calculated total energy, eV per atom: -4.275
ΔE_f (raw), kJ/mol of formula units: -269.1

a b c (Å): 6.1823 6.1823 3.7057
angles (deg): 90.00 90.00 90.00
Fractional positions:
Ba  0.0000  0.5000  0.0000
Ba  0.5000  0.0000  0.0000
Al  0.0000  0.0000  0.0000
Pt  0.5000  0.5000  0.5000
O  0.0000  0.0000  0.5000



3.
Ba3PuAl2O8: relaxed, PBE-GGA.

Output
M_tot, μB per formula unit: 4.00
Calculated total energy, eV per atom: -7.689
ΔE_f (raw), kJ/mol of formula units: -3897.3

a b c (Å): 5.9321 5.9321 7.5846
angles (deg): 90.00 90.00 120.00
Fractional positions:
Ba  0.0000  0.0000  0.0000
Ba  0.3333  0.6667  0.6796
Ba  0.6667  0.3333  0.3204
Pu  0.0000  0.0000  0.5000
Al  0.3333  0.6667  0.2255
Al  0.6667  0.3333  0.7745
O  0.1725  0.3449  0.3220
O  0.1725  0.8275  0.3220
O  0.3333  0.6667  0.9989
O  0.3449  0.1725  0.6780
O  0.6551  0.8275  0.3220
O  0.6667  0.3333  0.0011
O  0.8275  0.1725  0.6780
O  0.8275  0.6551  0.6780



4.
BaPuAlO6: relaxed, PBE-GGA.

Output
M_tot, μB per formula unit: 1.00
Calculated total energy, eV per atom: -8.171
ΔE_f (raw), kJ/mol of formula units: -2295.7

a b c (Å): 5.2654 5.2654 5.8852
angles (deg): 90.00 90.00 120.00
Fractional positions:
Ba  0.0000  0.0000  0.0000
Pu  0.3333  0.6667  0.5000
Al  0.6667  0.3333  0.5000
O  0.3822  0.0110  0.6860
O  0.3822  0.3712  0.3140
O  0.6288  0.0110  0.3140
O  0.6288  0.6178  0.6860
O  0.9890  0.3712  0.6860
O  0.9890  0.6178  0.3140



Which value of M_tot does entry 2 give? 0.00 μB per formula unit